Density functional theory data (PBE with a Hubbard U) for a relaxed K2BiWO crystal.

Cell: 7.028 7.028 3.813 Å, 90.00 90.00 90.00°
Sites, in units of the cell vectors:
K 0.000 0.500 0.000
K 0.500 0.000 0.000
Bi 0.000 0.000 0.500
W 0.500 0.500 0.000
O 0.500 0.500 0.500

- Total DFT energy (no corrections): -3.825 eV per atom
- D(E_F): 2.91 states/eV/f.u.
- Symmetry: No. 123